a | Ho2Er2Tm7: optimized geometry, PBE-GGA.

Structure (POSCAR):
```
Ho2Er2Tm7
1.0
5.4781 -5.6790 0.0000
5.4781 5.6790 0.0000
-2.3746 0.0000 5.4514
Ho Er Tm
2 2 7
Cartesian
5.4781 3.2412 0.0000
5.4781 -3.2412 0.0000
2.8295 0.0000 3.7921
5.7522 0.0000 1.6593
-1.1873 0.0000 2.7257
2.8112 2.9820 1.7630
2.3343 0.0000 0.4479
5.7705 2.9820 3.6885
2.8112 -2.9820 1.7630
6.2474 0.0000 5.0036
5.7705 -2.9820 3.6885
```

Calculated values
As for the magnetization: 0.0 μB per cell. The calculated volume is 339 Å³ per cell. As for the space group: C2/m, No. 12.

=====

b | Ho2Er2Tm7: optimized geometry, PBE-GGA.

Structure (POSCAR):
```
Ho2Er2Tm7
1.0
6.3713 0.0000 0.0000
-0.8933 6.6247 0.0000
-1.3608 -3.1375 7.9608
Ho Er Tm
2 2 7
Cartesian
-0.4598 0.0144 3.7657
4.5771 3.4728 4.1951
0.2187 2.6072 1.6965
3.8985 0.8799 6.2644
0.2426 5.8563 0.8191
0.6552 -1.0812 6.8698
0.7865 2.2932 5.8556
2.5053 -1.5688 3.9804
3.3308 1.1939 2.1052
3.4621 4.5683 1.0911
3.8747 -2.3692 7.1417
```

Calculated values
As for the magnetization: 0.0 μB per cell. The calculated volume is 336 Å³ per cell. As for the space group: P-1, No. 2.

=====

Compare the structures above. Which one is the least stable? a is.